PmAgPb | PBE-GGA | relaxed

Results
As for the volume: 93.05 Å³/f.u. For the energy relative to the lowest polymorph listed for this composition, the calculation gives 1.36 eV per formula unit. The symmetry is F-43m.

Cell lengths 5.086, 5.086, 5.086 Å; angles 60.00, 60.00, 60.00 degrees
Fractional positions:
Pm1 0.000 0.000 0.000
Ag1 0.750 0.750 0.750
Pb1 0.250 0.250 0.250